Record 1
VASP calculation (GGA-PBE) on a relaxed Y2Cu5Pt4 crystal.

Lattice parameters (Å, degrees): 9.552 8.851 5.110 81.60 66.44 31.95
Fractional positions:
Y: 0.137 0.137 0.863
Y: 0.863 0.863 0.137
Cu: 0.000 0.000 0.500
Cu: 0.250 0.250 0.250
Cu: 0.500 0.500 0.000
Cu: 0.500 0.500 0.500
Cu: 0.750 0.750 0.750
Pt: 0.209 0.537 0.463
Pt: 0.463 0.791 0.209
Pt: 0.537 0.209 0.791
Pt: 0.791 0.463 0.537

Output
final energy: -63.20 eV per cell
total moment: 0.00 μB/f.u.

***

Record 2
VASP calculation (GGA-PBE) on a relaxed Y2CuPt crystal.

Lattice parameters (Å, degrees): 6.354 6.354 6.354 108.45 108.45 111.54
Fractional positions:
Y: 0.122 0.625 0.997
Y: 0.375 0.372 0.497
Y: 0.628 0.125 0.003
Y: 0.875 0.878 0.503
Cu: 0.250 0.750 0.500
Cu: 0.500 0.500 0.000
Pt: 0.000 0.000 0.000
Pt: 0.750 0.250 0.500

Output
final energy: -48.58 eV per cell
total moment: 0.00 μB/f.u.

***

Record 3
VASP calculation (GGA-PBE) on a relaxed Y3Cu4Pt4 crystal.

Lattice parameters (Å, degrees): 6.498 6.498 6.498 109.47 109.47 109.47
Fractional positions:
Y: 0.000 0.500 0.500
Y: 0.500 0.000 0.500
Y: 0.500 0.500 0.000
Cu: 0.000 0.000 0.231
Cu: 0.000 0.231 0.000
Cu: 0.231 0.000 0.000
Cu: 0.769 0.769 0.769
Pt: 0.000 0.000 0.596
Pt: 0.000 0.596 0.000
Pt: 0.404 0.404 0.404
Pt: 0.596 0.000 0.000

Output
final energy: -65.73 eV per cell
total moment: 0.00 μB/f.u.

***

Record 4
VASP calculation (GGA-PBE) on a relaxed Y2CuPt3 crystal.

Lattice parameters (Å, degrees): 5.527 5.527 8.394 90.00 90.00 120.00
Fractional positions:
Y: 0.333 0.667 0.058
Y: 0.333 0.667 0.442
Y: 0.667 0.333 0.558
Y: 0.667 0.333 0.942
Cu: 0.000 0.000 0.000
Cu: 0.000 0.000 0.500
Pt: 0.167 0.333 0.750
Pt: 0.167 0.833 0.750
Pt: 0.333 0.167 0.250
Pt: 0.667 0.833 0.750
Pt: 0.833 0.167 0.250
Pt: 0.833 0.667 0.250

Output
final energy: -82.04 eV per cell
total moment: 0.00 μB/f.u.

***

Record 5
VASP calculation (GGA-PBE) on a relaxed YCu2Pt crystal.

Lattice parameters (Å, degrees): 9.646 9.646 9.646 155.47 155.47 34.97
Fractional positions:
Y: 0.000 0.000 0.000
Y: 0.750 0.250 0.500
Cu: 0.236 0.625 0.111
Cu: 0.375 0.486 0.611
Cu: 0.514 0.125 0.889
Cu: 0.875 0.764 0.389
Pt: 0.250 0.750 0.500
Pt: 0.500 0.500 0.000

Output
final energy: -43.76 eV per cell
total moment: 0.00 μB/f.u.

***

Record 6
VASP calculation (GGA-PBE) on a relaxed YCuPt crystal.

Lattice parameters (Å, degrees): 5.343 5.343 5.476 90.00 90.00 133.06
Fractional positions:
Y: 0.205 0.795 0.750
Y: 0.795 0.205 0.250
Cu: 0.500 0.500 0.000
Cu: 0.500 0.500 0.500
Pt: 0.095 0.905 0.250
Pt: 0.905 0.095 0.750

Output
final energy: -38.13 eV per cell
total moment: 0.00 μB/f.u.

***

Record 7
VASP calculation (GGA-PBE) on a relaxed YCu3Pt crystal.

Lattice parameters (Å, degrees): 4.687 4.687 4.687 90.00 90.00 90.00
Fractional positions:
Y: 0.000 0.000 0.000
Cu: 0.000 0.500 0.500
Cu: 0.500 0.000 0.500
Cu: 0.500 0.500 0.000
Pt: 0.500 0.500 0.500

Output
final energy: -23.77 eV per cell
total moment: 0.00 μB/f.u.

***

Record 8
VASP calculation (GGA-PBE) on a relaxed Y2CuPt9 crystal.

Lattice parameters (Å, degrees): 4.089 4.089 12.021 90.00 90.00 90.00
Fractional positions:
Y: 0.000 0.000 0.174
Y: 0.000 0.000 0.826
Cu: 0.000 0.000 0.500
Pt: 0.000 0.500 0.000
Pt: 0.000 0.500 0.349
Pt: 0.000 0.500 0.651
Pt: 0.500 0.000 0.000
Pt: 0.500 0.000 0.349
Pt: 0.500 0.000 0.651
Pt: 0.500 0.500 0.174
Pt: 0.500 0.500 0.500
Pt: 0.500 0.500 0.826

Output
final energy: -79.51 eV per cell
total moment: 0.00 μB/f.u.

***

Formation energy values, unit eV/atom, following the record order: -0.512, -0.306, -0.526, -0.979, -0.296, -0.821, 0.205, -0.676.